(1)
The following is a PBE calculation of a relaxed EuZnIn crystal, from the Alexandria database.

Calculated values
E_tot = -30.90 eV/cell
Energy of formation = -1.16 eV/f.u.
Density = 7.209 Mg/m³

a b c (Å): 6.063 6.063 7.727
angles (deg): 52.03 52.03 46.51
Positions (direct):
In1 0.828 0.828 0.110
In2 0.172 0.172 0.890
Zn1 0.153 0.153 0.301
Zn2 0.847 0.847 0.699
Eu1 0.455 0.455 0.300
Eu2 0.545 0.545 0.700

---

(2)
The following is a PBE calculation of a relaxed LaCoMo2 crystal, from the Alexandria database.

Calculated values
E_tot = -32.43 eV/cell
Energy of formation = 1.27 eV/f.u.
Density = 8.718 Mg/m³

a b c (Å): 3.192 3.192 7.286
angles (deg): 90.00 90.00 90.05
Positions (direct):
La1 0.500 0.500 0.743
Mo1 0.000 0.000 0.063
Mo2 0.500 0.500 0.255
Co1 0.000 0.000 0.439